Record 1
5
Lattice="-0.392 3.889 -3.046 -4.516 -1.520 -1.360 -2.222 2.962 4.068" Properties=species:S:1:pos:R:3 comment="NaTaAsBr2 PBE-GGA relaxed" relative_energy_mev_per_atom=1286 formation_energy_uncorrected_ev_per_atom=0.95 final_energy_ev_per_atom=-3.29 pbc="T T T"
Ta -3.565 2.666 -0.169
Br -2.258 -0.760 -0.680
Br -0.196 1.945 -1.523
Na 0.000 0.000 0.000
As -1.111 1.481 2.034



Record 2
4
Lattice="-1.346 3.003 -2.857 -0.995 -2.016 -1.651 -5.085 -0.413 1.962" Properties=species:S:1:pos:R:3 comment="Ta2ReIr PBE-GGA relaxed" final_energy_ev_per_atom=-11.47 delta_e_f_mev_per_atom=-214.7 pbc="T T T"
Ta -3.080 -1.259 0.128
Ta -6.040 -2.385 0.338
Ir -2.193 0.894 -1.351
Re -5.233 -0.320 -1.195



Record 3
7
Lattice="5.299 0.000 0.000 0.000 5.506 0.000 0.000 -2.753 8.004" Properties=species:S:1:pos:R:3 comment="CsIn4Sn2 PBE-GGA relaxed" relative_energy_mev_per_atom=0 final_energy_ev_per_atom=-2.93 delta_e_f_mev_per_atom=-98.3 pbc="T T T"
Sn 2.649 2.753 1.645
Sn 2.649 0.000 6.359
In 0.000 2.753 3.235
In 2.649 0.000 2.997
In 0.000 0.000 4.769
In 2.649 2.753 5.007
Cs 0.000 0.000 0.000



Size of the total moment (μB/atom)
0.1972 0.0000 0.0000
Calculated density (g/cm3)
5.4 18.8 5.9